Entry 1:
First-principles (PBE) data for a relaxed Pr4HoGa5 crystal, as listed in Alexandria via LeMat-Bulk.

```
data_Pr4HoGa5
_cell_length_a 3.684
_cell_length_b 3.684
_cell_length_c 18.529
_cell_angle_alpha 90.00
_cell_angle_beta 90.00
_cell_angle_gamma 90.00
_space_group_name_H-M_alt 'P 1'
_space_group_IT_number 1
loop_
_space_group_symop_operation_xyz
'x,y,z'
loop_
_atom_site_label
_atom_site_fract_x
_atom_site_fract_y
_atom_site_fract_z
Pr1 0.000 0.000 0.602
Ga1 0.500 0.500 0.500
Ga2 0.500 0.500 0.704
Pr2 0.000 0.000 0.807
Ga3 0.500 0.500 0.296
Ho1 0.000 0.000 0.000
Ga4 0.500 0.500 0.912
Pr3 0.000 0.000 0.193
Ga5 0.500 0.500 0.088
Pr4 0.000 0.000 0.398
```

## Properties
Calculated volume ... 251.5 Å³/cell
Space-group type ... P4/mmm

=====

Entry 2:
First-principles (PBE) data for a relaxed Pr2HoGa2 crystal, as listed in Alexandria via LeMat-Bulk.

```
data_Pr2HoGa2
_cell_length_a 4.694
_cell_length_b 5.984
_cell_length_c 5.984
_cell_angle_alpha 67.13
_cell_angle_beta 66.91
_cell_angle_gamma 66.91
_space_group_name_H-M_alt 'P 1'
_space_group_IT_number 1
loop_
_space_group_symop_operation_xyz
'x,y,z'
loop_
_atom_site_label
_atom_site_fract_x
_atom_site_fract_y
_atom_site_fract_z
Ho1 0.000 0.000 0.000
Pr1 0.800 0.700 0.700
Ga1 0.500 0.704 0.296
Pr2 0.200 0.300 0.300
Ga2 0.500 0.296 0.704
```

## Properties
Calculated volume ... 136.7 Å³/cell
Space-group type ... Immm

=====

Entry 3:
First-principles (PBE) data for a relaxed Pr2HoGa2 crystal, as listed in Alexandria via LeMat-Bulk.

```
data_Pr2HoGa2
_cell_length_a 4.715
_cell_length_b 6.504
_cell_length_c 9.938
_cell_angle_alpha 82.57
_cell_angle_beta 76.28
_cell_angle_gamma 68.75
_space_group_name_H-M_alt 'P 1'
_space_group_IT_number 1
loop_
_space_group_symop_operation_xyz
'x,y,z'
loop_
_atom_site_label
_atom_site_fract_x
_atom_site_fract_y
_atom_site_fract_z
Ho1 0.207 0.945 0.641
Pr1 0.310 0.278 0.102
Pr2 0.523 0.640 0.314
Ho2 0.793 0.055 0.359
Ga1 0.875 0.678 0.573
Ga2 0.039 0.831 0.091
Pr3 0.690 0.722 0.898
Ga3 0.125 0.322 0.427
Pr4 0.477 0.360 0.686
Ga4 0.961 0.169 0.909
```

## Properties
Calculated volume ... 275.7 Å³/cell
Space-group type ... C2/m

=====

Entry 4:
First-principles (PBE) data for a relaxed Pr2HoGa3 crystal, as listed in Alexandria via LeMat-Bulk.

```
data_Pr2HoGa3
_cell_length_a 4.757
_cell_length_b 6.321
_cell_length_c 10.792
_cell_angle_alpha 90.00
_cell_angle_beta 102.73
_cell_angle_gamma 90.00
_space_group_name_H-M_alt 'P 1'
_space_group_IT_number 1
loop_
_space_group_symop_operation_xyz
'x,y,z'
loop_
_atom_site_label
_atom_site_fract_x
_atom_site_fract_y
_atom_site_fract_z
Ga1 0.437 0.049 0.875
Ga2 0.747 0.750 0.493
Ho1 0.674 0.250 0.348
Pr1 0.149 0.750 0.298
Ga3 0.437 0.451 0.875
Ga4 0.253 0.250 0.507
Pr2 0.851 0.250 0.702
Ga5 0.563 0.951 0.125
Ga6 0.563 0.549 0.125
Pr3 0.036 0.250 0.071
Ho2 0.326 0.750 0.652
Pr4 0.964 0.750 0.929
```

## Properties
Calculated volume ... 316.5 Å³/cell
Space-group type ... Cmcm

=====

Entry 5:
First-principles (PBE) data for a relaxed PrHo4Ga4 crystal, as listed in Alexandria via LeMat-Bulk.

```
data_PrHo4Ga4
_cell_length_a 4.873
_cell_length_b 9.946
_cell_length_c 9.946
_cell_angle_alpha 90.00
_cell_angle_beta 90.00
_cell_angle_gamma 90.00
_space_group_name_H-M_alt 'P 1'
_space_group_IT_number 1
loop_
_space_group_symop_operation_xyz
'x,y,z'
loop_
_atom_site_label
_atom_site_fract_x
_atom_site_fract_y
_atom_site_fract_z
Ga1 0.000 0.425 0.678
Pr1 0.500 0.500 0.500
Ho1 0.500 0.627 0.142
Ga2 0.000 0.575 0.322
Ho2 0.500 0.858 0.627
Ho3 0.000 0.127 0.642
Ho4 0.000 0.642 0.873
Ho5 0.000 0.358 0.127
Ga3 0.500 0.925 0.178
Ga4 0.500 0.178 0.075
Ga5 0.500 0.075 0.822
Ga6 0.500 0.822 0.925
Ga7 0.000 0.678 0.575
Ho6 0.500 0.373 0.858
Ho7 0.500 0.142 0.373
Pr2 0.000 0.000 0.000
Ho8 0.000 0.873 0.358
Ga8 0.000 0.322 0.425
```

## Properties
Calculated volume ... 482.0 Å³/cell
Space-group type ... I4/m

=====

Entry 6:
First-principles (PBE) data for a relaxed PrHo3Ga crystal, as listed in Alexandria via LeMat-Bulk.

```
data_PrHo3Ga
_cell_length_a 7.594
_cell_length_b 7.594
_cell_length_c 7.385
_cell_angle_alpha 102.08
_cell_angle_beta 118.11
_cell_angle_gamma 109.77
_space_group_name_H-M_alt 'P 1'
_space_group_IT_number 1
loop_
_space_group_symop_operation_xyz
'x,y,z'
loop_
_atom_site_label
_atom_site_fract_x
_atom_site_fract_y
_atom_site_fract_z
Pr1 0.734 0.052 0.787
Ga1 0.356 0.267 0.623
Ga2 0.644 0.733 0.377
Ho1 0.159 0.893 0.662
Ho2 0.841 0.107 0.338
Ho3 0.231 0.497 0.338
Ho4 0.769 0.503 0.662
Ho5 0.694 0.428 0.122
Pr2 0.266 0.948 0.213
Ho6 0.306 0.572 0.878
```

## Properties
Calculated volume ... 316.7 Å³/cell
Space-group type ... C2/m

=====

Result set for D(E_F): 4.573; 5.690; 8.199; 11.744; 15.075; 12.872 states/eV per cell, one per record in the order listed.
Result set for calculated total energy: -4.4364; -4.5132; -4.5001; -4.3376; -4.2972; -4.3840 eV per atom, one per record in the order listed.
Result set for E_form: -0.55; -0.48; -0.46; -0.47; -0.39; -0.08 eV/atom, one per record in the order listed.